# ZrPt3Se

An optimized crystal structure of ZrPt3Se (PBE, Alexandria via LeMat-Bulk).

a = 4.9750 Å, b = 4.9750 Å, c = 4.9750 Å
α = 90.00°, β = 90.00°, γ = 90.00°
Space group Pm-3m (No. 221)
Symmetry-distinct sites (fractional):
Zr 0.0000 0.0000 0.0000
Pt 0.0000 0.0000 0.5000
Se 0.5000 0.5000 0.5000

E above lowest polymorph   696 meV/atom
ΔE_f (raw)   0.943 eV per atom
E_tot   -5.09 eV per atom